# 1
An optimized crystal structure of TiMoC2. Source: the Alexandria database, functional PBE.

Values from the calculation:
Distance to the lowest polymorph of the same formula (eV/atom): 0.000
Calculated total energy (eV per atom): -9.7535

The structure in POSCAR format:
```
TiMoC2
1.0
3.018 0.000 0.000
-1.509 2.613 0.000
0.000 0.000 15.805
Ti Mo C
3 3 6
Direct
0.000 0.000 0.000 Ti
0.333 0.667 0.667 Ti
0.667 0.333 0.333 Ti
0.000 0.000 0.824 Mo
0.333 0.667 0.491 Mo
0.667 0.333 0.157 Mo
0.000 0.000 0.410 C
0.000 0.000 0.577 C
0.333 0.667 0.076 C
0.333 0.667 0.244 C
0.667 0.333 0.743 C
0.667 0.333 0.911 C
```



# 2
An optimized crystal structure of GeMoSeBr2. Source: the Alexandria database, functional PBE.

Values from the calculation:
Distance to the lowest polymorph of the same formula (eV/atom): 0.332
Calculated total energy (eV per atom): -3.7868
Raw formation energy (meV per atom): 669

The structure in POSCAR format:
```
GeMoSeBr2
1.0
5.207 0.000 0.000
0.000 5.207 0.000
0.000 0.000 5.228
Ge Mo Se Br
1 1 1 2
Direct
0.000 0.000 0.000 Ge
0.500 0.500 0.500 Mo
0.000 0.000 0.500 Se
0.000 0.500 0.000 Br
0.500 0.000 0.000 Br
```



# 3
An optimized crystal structure of KTaHg2. Source: the Alexandria database, functional PBE.

Values from the calculation:
Distance to the lowest polymorph of the same formula (eV/atom): 0.426
Calculated total energy (eV per atom): -2.5829

The structure in POSCAR format:
```
KTaHg2
1.0
2.941 0.000 0.000
0.000 6.536 0.000
0.000 0.000 11.801
K Ta Hg
2 2 4
Direct
0.000 0.000 0.000 K
0.500 0.500 0.500 K
0.000 0.000 0.500 Ta
0.500 0.500 0.000 Ta
0.000 0.500 0.212 Hg
0.000 0.500 0.788 Hg
0.500 0.000 0.288 Hg
0.500 0.000 0.712 Hg
```



# 4
An optimized crystal structure of Hg2OsSe2. Source: the Alexandria database, functional PBE.

Values from the calculation:
Distance to the lowest polymorph of the same formula (eV/atom): 0.642
Calculated total energy (eV per atom): -2.8342
Raw formation energy (meV per atom): 926

The structure in POSCAR format:
```
Hg2OsSe2
1.0
3.673 0.000 0.000
0.000 3.673 0.000
0.000 0.000 17.546
Hg Os Se
4 2 4
Direct
0.000 0.500 0.250 Hg
0.000 0.500 0.750 Hg
0.500 0.000 0.250 Hg
0.500 0.000 0.750 Hg
0.000 0.000 0.000 Os
0.500 0.500 0.500 Os
0.000 0.000 0.426 Se
0.000 0.000 0.574 Se
0.500 0.500 0.074 Se
0.500 0.500 0.926 Se
```



# 5
An optimized crystal structure of CoTc. Source: the Alexandria database, functional PBE.

Values from the calculation:
Distance to the lowest polymorph of the same formula (eV/atom): 1.563
Calculated total energy (eV per atom): -7.2204

The structure in POSCAR format:
```
CoTc
1.0
6.375 0.000 0.000
0.000 6.375 0.000
0.000 0.000 6.375
Co Tc
6 6
Direct
0.000 0.250 0.500 Co
0.000 0.750 0.500 Co
0.250 0.500 0.000 Co
0.500 0.000 0.250 Co
0.500 0.000 0.750 Co
0.750 0.500 0.000 Co
0.000 0.500 0.250 Tc
0.000 0.500 0.750 Tc
0.250 0.000 0.500 Tc
0.500 0.250 0.000 Tc
0.500 0.750 0.000 Tc
0.750 0.000 0.500 Tc
```



# 6
An optimized crystal structure of Li4AgAu. Source: the Alexandria database, functional PBE.

Values from the calculation:
Distance to the lowest polymorph of the same formula (eV/atom): 0.054
Calculated total energy (eV per atom): -2.5448

The structure in POSCAR format:
```
Li4AgAu
1.0
2.783 0.000 0.000
0.000 4.757 0.000
0.000 0.000 7.605
Li Ag Au
4 1 1
Direct
0.000 0.000 0.176 Li
0.000 0.000 0.824 Li
0.500 0.500 0.313 Li
0.500 0.500 0.687 Li
0.500 0.000 0.500 Ag
0.000 0.500 0.000 Au
```



Going through the records in order, we get M_tot values of 0.000 4.440 2.104 0.069 0.000 0.000 Bohr magnetons per cell.